The following is a PBE calculation of an optimized crystal structure of YCr3, from Alexandria.

Values from the calculation:
- Density of states at the Fermi level: 5.27 states/eV/f.u.
- Uncorrected energy: -8.142 eV per atom
- SG: No. 187

Cell: 3.127 3.127 8.237 Å, 90.00 90.00 120.00°
Site moments in Bohr magnetons follow the coordinates.
Sites, in units of the cell vectors:
Cr 0.000 0.000 0.053  2.36
Cr 0.000 0.000 0.447  2.36
Cr 0.333 0.667 0.250  -2.00
Y 0.333 0.667 0.750  -0.08

***

The following is a PBE calculation of an optimized crystal structure of Y3Cr, from Alexandria.

Values from the calculation:
- Density of states at the Fermi level: 3.83 states/eV/f.u.
- Uncorrected energy: -6.922 eV per atom
- SG: No. 139

Cell: 5.087 5.569 5.087 Å, 62.82 90.00 117.18°
Site moments in Bohr magnetons follow the coordinates.
Sites, in units of the cell vectors:
Cr 0.000 0.000 0.000  3.52
Y 0.250 0.500 0.250  -0.24
Y 0.500 0.000 0.500  -0.42
Y 0.750 0.500 0.750  -0.24

***

The following is a PBE calculation of an optimized crystal structure of YCr, from Alexandria.

Values from the calculation:
- Density of states at the Fermi level: 2.90 states/eV/f.u.
- Uncorrected energy: -7.594 eV per atom
- SG: No. 194

Cell: 5.108 5.108 4.062 Å, 90.00 90.00 120.00°
Sites, in units of the cell vectors:
Cr 0.000 0.000 0.000
Cr 0.000 0.000 0.500
Y 0.333 0.667 0.250
Y 0.667 0.333 0.750

***

The following is a PBE calculation of an optimized crystal structure of YCr, from Alexandria.

Values from the calculation:
- Density of states at the Fermi level: 2.52 states/eV/f.u.
- Uncorrected energy: -7.411 eV per atom
- SG: No. 139

Cell: 10.561 10.561 3.541 Å, 90.00 90.00 90.00°
Sites, in units of the cell vectors:
Y 0.792 0.500 0.000
Y 0.208 0.500 0.000
Y 0.500 0.208 0.000
Y 0.500 0.792 0.000
Y 0.292 0.000 0.500
Y 0.708 0.000 0.500
Y 0.000 0.708 0.500
Y 0.000 0.292 0.500
Cr 0.205 0.205 0.000
Cr 0.205 0.795 0.000
Cr 0.795 0.205 0.000
Cr 0.795 0.795 0.000
Cr 0.705 0.705 0.500
Cr 0.705 0.295 0.500
Cr 0.295 0.705 0.500
Cr 0.295 0.295 0.500

***

| no. | E_form (eV/atom) | theoretical density (Mg/m³) |
| --- | --- | --- |
| 1 | 0.6913 | 5.83 |
| 2 | 0.3318 | 4.81 |
| 3 | 0.4493 | 5.10 |
| 4 | 0.6327 | 4.74 |